The following is a DFT calculation (GGA-PBE) of a relaxed structure of BaMnH6.

Lattice parameters (Å, degrees): 5.840 5.840 5.840 60.00 60.00 60.00
Fractional coordinates of all 8 atoms:
Ba (0.000, 0.000, 0.000)
Mn (0.500, 0.500, 0.500)
H (0.303, 0.303, 0.697)
H (0.303, 0.697, 0.303)
H (0.303, 0.697, 0.697)
H (0.697, 0.303, 0.303)
H (0.697, 0.303, 0.697)
H (0.697, 0.697, 0.303)

energy above the lowest structure with this stoichiometry	81	meV/atom

The following is a DFT calculation (GGA-PBE) of a relaxed structure of BaMnH2N.

Lattice parameters (Å, degrees): 4.048 4.048 3.686 90.00 90.00 90.00
Fractional coordinates of all 5 atoms:
Ba (0.000, 0.000, 0.000)
Mn (0.500, 0.500, 0.500)
H (0.000, 0.500, 0.500)
H (0.500, 0.000, 0.500)
N (0.500, 0.500, 0.000)

final energy	-5.530	eV/atom

The following is a DFT calculation (GGA-PBE) of a relaxed structure of BaNa2MnH8.

Lattice parameters (Å, degrees): 4.944 4.944 7.248 90.00 90.00 120.00
Fractional coordinates of all 12 atoms:
Ba (0.000, 0.000, 0.000)
Na (0.333, 0.667, 0.358)
Na (0.667, 0.333, 0.642)
Mn (0.000, 0.000, 0.500)
H (0.154, 0.308, 0.635)
H (0.154, 0.846, 0.635)
H (0.308, 0.154, 0.365)
H (0.333, 0.667, 0.057)
H (0.667, 0.333, 0.943)
H (0.692, 0.846, 0.635)
H (0.846, 0.154, 0.365)
H (0.846, 0.692, 0.365)

final energy	-3.517	eV/atom

The following is a DFT calculation (GGA-PBE) of a relaxed structure of BaNaMnH6.

Lattice parameters (Å, degrees): 5.133 5.133 4.866 90.00 90.00 120.00
Fractional coordinates of all 9 atoms:
Ba (0.000, 0.000, 0.000)
Na (0.333, 0.667, 0.500)
Mn (0.667, 0.333, 0.500)
H (0.536, 0.072, 0.264)
H (0.536, 0.072, 0.736)
H (0.536, 0.464, 0.264)
H (0.536, 0.464, 0.736)
H (0.928, 0.464, 0.264)
H (0.928, 0.464, 0.736)

final energy	-3.783	eV/atom

The following is a DFT calculation (GGA-PBE) of a relaxed structure of Ba2MnNiH6.

Lattice parameters (Å, degrees): 5.771 5.771 5.771 123.84 123.84 83.47
Fractional coordinates of all 10 atoms:
Ba (0.250, 0.750, 0.500)
Ba (0.750, 0.250, 0.500)
Mn (0.000, 0.000, 0.000)
Ni (0.500, 0.500, 0.000)
H (0.207, 0.207, 0.000)
H (0.276, 0.276, 0.552)
H (0.276, 0.724, 0.000)
H (0.724, 0.276, 0.000)
H (0.724, 0.724, 0.448)
H (0.793, 0.793, 0.000)

final energy	-4.118	eV/atom